Compound: CaTaMn2
Source: Alexandria via LeMat-Bulk
Functional: PBE
Structure: optimized geometry

The structure in extended XYZ format:
```
4
Lattice="3.252 0.000 0.000 0.000 3.252 0.000 0.000 0.000 7.233" Properties=species:S:1:pos:R:3 pbc="T T T"
Ca 0.000 0.000 0.000
Ta 0.000 0.000 3.617
Mn 1.626 1.626 2.284
Mn 1.626 1.626 4.949
```

Properties
- energy relative to the lowest polymorph listed for this composition (meV/atom) = 0.0
- D(E_F) (states/eV per cell) = 3.73
- ΔE_f (kJ/mol of formula units) = 98
- total magnetic moment (μB/atom) = 1.261